1.
DyVRe: optimized geometry, PBE-GGA.

The structure belongs to space group Cmcm (No. 63); the cell edges are 3.427, 14.038 and 4.721 Å and the angles 90.00°, 90.00° and 90.00°. The inequivalent atoms are Dy at (0.000, 0.078, 0.250), V at (0.000, 0.246, 0.750) and Re at (0.000, 0.374, 0.250).

Its calculated total energy is -103.36 eV for the cell shown. The crystal system is orthorhombic. As for the magnetic moment: 0.0000 μB/atom. The calculation puts the formation energy at 109.9 meV/atom.

---

2.
TaNbInO6: optimized geometry, PBE-GGA.

The structure belongs to space group P-31c (No. 163); the cell edges are 5.2844, 5.2844 and 9.6971 Å and the angles 90.00°, 90.00° and 120.00°. The inequivalent atoms are Ta at (0.3333, 0.6667, 0.2500), Nb at (0.3333, 0.6667, 0.7500), In at (0.0000, 0.0000, 0.0000) and O at (0.0039, 0.3612, 0.1354).

Its calculated total energy is -150.39 eV for the cell shown. The crystal system is trigonal. As for the magnetic moment: 0.0000 μB/atom.

---

3.
Pr2PdAu: optimized geometry, PBE-GGA.

The structure belongs to space group P4/mmm (No. 123); the cell edges are 3.692, 3.692 and 7.417 Å and the angles 90.00°, 90.00° and 90.00°. The inequivalent atoms are Pr at (0.000, 0.000, 0.244), Pd at (0.500, 0.500, 0.000) and Au at (0.500, 0.500, 0.500).

Its calculated total energy is -20.94 eV for the cell shown. The crystal system is tetragonal. As for the magnetic moment: 0.0000 μB/atom. The calculation puts the formation energy at -726.5 meV/atom.

---

4.
Tm3GeS2: optimized geometry, PBE-GGA.

The structure belongs to space group Immm (No. 71); the cell edges are 3.963, 5.570 and 11.777 Å and the angles 90.00°, 90.00° and 90.00°. The inequivalent atoms are Tm at (0.000, 0.000, 0.000), Tm at (0.000, 0.000, 0.334), Ge at (0.000, 0.500, 0.000) and S at (0.000, 0.500, 0.333).

Its calculated total energy is -72.33 eV for the cell shown. The crystal system is orthorhombic. As for the magnetic moment: 0.0000 μB/atom. For the energy relative to the lowest polymorph listed for this composition, the calculation gives 0.000 eV per formula unit.

---

5.
Ca4MgSi: optimized geometry, PBE-GGA.

The structure belongs to space group F-43m (No. 216); the cell edges are 9.341, 9.341 and 9.341 Å and the angles 90.00°, 90.00° and 90.00°. The inequivalent atoms are Ca at (0.124, 0.124, 0.376), Mg at (0.000, 0.000, 0.000) and Si at (0.250, 0.250, 0.750).

Its calculated total energy is -48.50 eV for the cell shown. The crystal system is cubic. As for the magnetic moment: 0.0000 μB/atom.

---

6.
TbPrCoCu: optimized geometry, PBE-GGA.

The structure belongs to space group F-43m (No. 216); the cell edges are 6.973, 6.973 and 6.973 Å and the angles 90.00°, 90.00° and 90.00°. The inequivalent atoms are Tb at (0.000, 0.000, 0.000), Pr at (0.000, 0.000, 0.500), Co at (0.250, 0.250, 0.250) and Cu at (0.250, 0.250, 0.750).

Its calculated total energy is -83.76 eV for the cell shown. The crystal system is cubic. As for the magnetic moment: 0.1023 μB/atom. For the energy relative to the lowest polymorph listed for this composition, the calculation gives 0.193 eV per formula unit. The calculation puts the formation energy at -81.8 meV/atom.

---

7.
KLiFe2: optimized geometry, PBE-GGA.

The structure belongs to space group I4/mmm (No. 139); the cell edges are 3.734, 3.734 and 10.613 Å and the angles 90.00°, 90.00° and 90.00°. The inequivalent atoms are K at (0.000, 0.000, 0.000), Li at (0.000, 0.000, 0.500) and Fe at (0.000, 0.500, 0.250).

Its calculated total energy is -31.53 eV for the cell shown. The crystal system is tetragonal. As for the magnetic moment: 1.3175 μB/atom. For the energy relative to the lowest polymorph listed for this composition, the calculation gives 2.000 eV per formula unit. The calculation puts the formation energy at 1043.4 meV/atom.

---

8.
K3InF7: optimized geometry, PBE-GGA.

The structure belongs to space group Cm (No. 8); the cell edges are 8.783, 9.196 and 6.439 Å and the angles 90.00°, 127.98° and 90.00°. The inequivalent atoms are K at (0.000, 0.000, 0.000), K at (0.019, 0.272, 0.472), In at (0.463, 0.000, 0.914), F at (0.126, 0.500, 0.778), F at (0.187, 0.364, 0.250), F at (0.188, 0.000, 0.524), F at (0.329, 0.000, 0.092) and F at (0.413, 0.232, 0.817).

Its calculated total energy is -92.64 eV for the cell shown. The crystal system is monoclinic. As for the magnetic moment: 0.1064 μB/atom.

---

Which value of calculated total energy does entry 3 give? -20.94 eV for the cell shown

---

Please write out number 1 again, unchanged.
DyVRe: optimized geometry, PBE-GGA.

The structure belongs to space group Cmcm (No. 63); the cell edges are 3.427, 14.038 and 4.721 Å and the angles 90.00°, 90.00° and 90.00°. The inequivalent atoms are Dy at (0.000, 0.078, 0.250), V at (0.000, 0.246, 0.750) and Re at (0.000, 0.374, 0.250).

Its calculated total energy is -103.36 eV for the cell shown. The crystal system is orthorhombic. As for the magnetic moment: 0.0000 μB/atom. The calculation puts the formation energy at 109.9 meV/atom.

---

Which value of calculated total energy does entry 7 give? -31.53 eV for the cell shown

---

The highest magnetic moment belongs to which entry? KLiFe2